Below is a relaxed structure of La4YCu5, with properties calculated at the PBE level.

Summary:
Density of states at the Fermi level = 8.06 states/eV/f.u.
ΔE_f = -0.154 eV per atom

CIF file:
```
data_La4YCu5
_chemical_formula_sum 'La4 Y1 Cu5'
_space_group_name_H-M_alt 'P 4/m m m'
_space_group_IT_number 123
_space_group_name_Hall '-P 4 2'
_cell_length_a 3.597
_cell_length_b 3.597
_cell_length_c 18.337
_cell_angle_alpha 90.00
_cell_angle_beta 90.00
_cell_angle_gamma 90.00
loop_
_atom_site_label
_atom_site_type_symbol
_atom_site_fract_x
_atom_site_fract_y
_atom_site_fract_z
La1 La 0.000 0.000 0.102
La2 La 0.000 0.000 0.305
Y1 Y 0.000 0.000 0.500
Cu1 Cu 0.500 0.500 0.000
Cu2 Cu 0.500 0.500 0.203
Cu3 Cu 0.500 0.500 0.412
```

Below is a relaxed structure of LaYCu2, with properties calculated at the PBE level.

Summary:
Density of states at the Fermi level = 3.62 states/eV/f.u.
Distance to the lowest polymorph of the same formula = 148 meV/atom
ΔE_f = -0.049 eV per atom

CIF file:
```
data_LaYCu2
_chemical_formula_sum 'La1 Y1 Cu2'
_space_group_name_H-M_alt 'P 4 m m'
_space_group_IT_number 99
_cell_length_a 3.467
_cell_length_b 3.467
_cell_length_c 7.683
_cell_angle_alpha 90.00
_cell_angle_beta 90.00
_cell_angle_gamma 90.00
loop_
_space_group_symop_operation_xyz
'x,y,z'
'-y,x,z'
'-x,-y,z'
'y,-x,z'
'-x,y,z'
'y,x,z'
'x,-y,z'
'-y,-x,z'
loop_
_atom_site_label
_atom_site_type_symbol
_atom_site_fract_x
_atom_site_fract_y
_atom_site_fract_z
La1 La 0.000 0.000 0.000
Y1 Y 0.500 0.500 0.383
Cu1 Cu 0.000 0.000 0.607
Cu2 Cu 0.500 0.500 0.750
```

Below is a relaxed structure of LaY2Cu, with properties calculated at the PBE level.

Summary:
Density of states at the Fermi level = 5.99 states/eV/f.u.
Distance to the lowest polymorph of the same formula = 255 meV/atom
ΔE_f = 0.163 eV per atom

CIF file:
```
data_LaY2Cu
_chemical_formula_sum 'La2 Y4 Cu2'
_space_group_name_H-M_alt 'I -4 m 2'
_space_group_IT_number 119
_space_group_name_Hall 'I -4 -2'
_cell_length_a 4.683
_cell_length_b 4.683
_cell_length_c 9.928
_cell_angle_alpha 90.00
_cell_angle_beta 90.00
_cell_angle_gamma 90.00
loop_
_atom_site_label
_atom_site_type_symbol
_atom_site_fract_x
_atom_site_fract_y
_atom_site_fract_z
La1 La 0.000 0.000 0.000
Y1 Y 0.000 0.000 0.500
Y2 Y 0.000 0.500 0.750
Cu1 Cu 0.000 0.500 0.250
```